Record 1
A relaxed Re2GeRhS crystal, computed with PBE.

The value obtained for the total energy is -6.33 eV per atom. For the density of states at the Fermi level, the calculation gives 5.696 states/eV per cell. The value obtained for the raw formation energy is 1.871 eV per atom.

The structure in CIF format:
```
data_Re2GeRhS
_chemical_formula_sum 'Re2 Ge1 Rh1 S1'
_cell_length_a 4.815
_cell_length_b 4.815
_cell_length_c 4.391
_cell_angle_alpha 90.00
_cell_angle_beta 90.00
_cell_angle_gamma 90.00
_space_group_name_H-M_alt 'P 4/m m m'
_space_group_IT_number 123
_space_group_name_Hall '-P 4 2'
loop_
_atom_site_label
_atom_site_fract_x
_atom_site_fract_y
_atom_site_fract_z
_atom_site_occupancy
Re1 0.000 0.500 0.000 1
Ge1 0.000 0.000 0.500 1
Rh1 0.500 0.500 0.000 1
S1 0.500 0.500 0.500 1
```

Record 2
A relaxed Ag2HPd crystal, computed with PBE.

The value obtained for the total energy is -3.61 eV per atom. For the density of states at the Fermi level, the calculation gives 2.061 states/eV per cell. The polymorph energy (0 for the lowest one) comes out at 0.00 kJ per mole of atoms.

The structure in CIF format:
```
data_Ag2HPd
_chemical_formula_sum 'Ag4 H2 Pd2'
_cell_length_a 3.960
_cell_length_b 4.082
_cell_length_c 6.883
_cell_angle_alpha 90.00
_cell_angle_beta 106.61
_cell_angle_gamma 90.00
_space_group_name_H-M_alt 'C 1 m 1'
_space_group_IT_number 8
_space_group_name_Hall 'C -2y'
loop_
_atom_site_label
_atom_site_fract_x
_atom_site_fract_y
_atom_site_fract_z
_atom_site_occupancy
Ag1 0.000 0.000 0.000 1
Ag2 0.162 0.500 0.325 1
H1 0.329 0.500 0.662 1
Pd1 0.331 0.000 0.662 1
```

Record 3
A relaxed Mg2Fe2Cu crystal, computed with PBE.

The value obtained for the total energy is -4.57 eV per atom. For the density of states at the Fermi level, the calculation gives 9.555 states/eV per cell. Its formation energy is 25.9 kJ/mol of atoms.

The structure in CIF format:
```
data_Mg2Fe2Cu
_chemical_formula_sum 'Mg4 Fe4 Cu2'
_cell_length_a 6.111
_cell_length_b 6.111
_cell_length_c 4.169
_cell_angle_alpha 90.00
_cell_angle_beta 90.00
_cell_angle_gamma 90.00
_space_group_name_H-M_alt 'P 4/m b m'
_space_group_IT_number 127
_space_group_name_Hall '-P 4 2ab'
loop_
_atom_site_label
_atom_site_fract_x
_atom_site_fract_y
_atom_site_fract_z
_atom_site_occupancy
Mg1 0.173 0.327 0.000 1
Fe1 0.125 0.625 0.500 1
Cu1 0.000 0.000 0.500 1
```

Record 4
A relaxed KNdEr4Se8 crystal, computed with PBE.

The value obtained for the total energy is -5.45 eV per atom. For the density of states at the Fermi level, the calculation gives 0.000 states/eV per cell. The value obtained for the raw formation energy is -1.734 eV per atom.

The structure in CIF format:
```
data_KNdEr4Se8
_chemical_formula_sum 'K3 Nd3 Er12 Se24'
_cell_length_a 8.5079
_cell_length_b 8.5079
_cell_length_c 21.3780
_cell_angle_alpha 90.00
_cell_angle_beta 90.00
_cell_angle_gamma 120.00
_space_group_name_H-M_alt 'R 3 m'
_space_group_IT_number 160
_space_group_name_Hall 'R 3 -2"'
loop_
_atom_site_label
_atom_site_fract_x
_atom_site_fract_y
_atom_site_fract_z
_atom_site_occupancy
K1 0.0000 0.0000 0.0000 1
Nd1 0.0000 0.0000 0.3652 1
Er1 0.0000 0.0000 0.7442 1
Er2 0.0123 0.5062 0.8718 1
Se1 0.0000 0.0000 0.1374 1
Se2 0.0000 0.0000 0.6127 1
Se3 0.0143 0.5072 0.1249 1
Se4 0.1839 0.3678 0.9446 1
```

Record 5
A relaxed RbTlS2 crystal, computed with PBE.

The value obtained for the total energy is -3.33 eV per atom. For the density of states at the Fermi level, the calculation gives 0.000 states/eV per cell. The value obtained for the raw formation energy is -0.436 eV per atom. The polymorph energy (0 for the lowest one) comes out at 19.36 kJ per mole of atoms.

The structure in CIF format:
```
data_RbTlS2
_chemical_formula_sum 'Rb1 Tl1 S2'
_cell_length_a 4.1163
_cell_length_b 4.1163
_cell_length_c 8.2575
_cell_angle_alpha 90.00
_cell_angle_beta 90.00
_cell_angle_gamma 120.00
_space_group_name_H-M_alt 'P 3 m 1'
_space_group_IT_number 156
_space_group_name_Hall 'P 3 -2"'
loop_
_atom_site_label
_atom_site_fract_x
_atom_site_fract_y
_atom_site_fract_z
_atom_site_occupancy
Rb1 0.0000 0.0000 0.0000 1
Tl1 0.6667 0.3333 0.5542 1
S1 0.0000 0.0000 0.3882 1
S2 0.3333 0.6667 0.7422 1
```

Record 6
A relaxed Ca2CrCu crystal, computed with PBE.

The value obtained for the total energy is -3.86 eV per atom. For the density of states at the Fermi level, the calculation gives 11.685 states/eV per cell. Its formation energy is 54.8 kJ/mol of atoms. The polymorph energy (0 for the lowest one) comes out at 29.92 kJ per mole of atoms.

The structure in CIF format:
```
data_Ca2CrCu
_chemical_formula_sum 'Ca8 Cr4 Cu4'
_cell_length_a 8.156
_cell_length_b 8.156
_cell_length_c 6.206
_cell_angle_alpha 90.00
_cell_angle_beta 90.00
_cell_angle_gamma 90.00
_space_group_name_H-M_alt 'I -4 2 d'
_space_group_IT_number 122
_space_group_name_Hall 'I -4 2bw'
loop_
_atom_site_label
_atom_site_fract_x
_atom_site_fract_y
_atom_site_fract_z
_atom_site_occupancy
Ca1 0.213 0.250 0.125 1
Cr1 0.000 0.000 0.500 1
Cu1 0.000 0.000 0.000 1
```

Record 7
A relaxed UZn4Mo crystal, computed with PBE.

The value obtained for the total energy is -4.41 eV per atom. For the density of states at the Fermi level, the calculation gives 35.701 states/eV per cell. Its formation energy is 11.9 kJ/mol of atoms.

The structure in CIF format:
```
data_UZn4Mo
_chemical_formula_sum 'U4 Zn16 Mo4'
_cell_length_a 7.333
_cell_length_b 7.333
_cell_length_c 7.333
_cell_angle_alpha 90.00
_cell_angle_beta 90.00
_cell_angle_gamma 90.00
_space_group_name_H-M_alt 'F -4 3 m'
_space_group_IT_number 216
_space_group_name_Hall 'F -4 2 3'
loop_
_atom_site_label
_atom_site_fract_x
_atom_site_fract_y
_atom_site_fract_z
_atom_site_occupancy
U1 0.000 0.000 0.000 1
Zn1 0.124 0.124 0.624 1
Mo1 0.250 0.250 0.250 1
```

Record 8
A relaxed BePd2N crystal, computed with PBE.

The value obtained for the total energy is -4.87 eV per atom. For the density of states at the Fermi level, the calculation gives 15.731 states/eV per cell. The value obtained for the raw formation energy is 0.734 eV per atom. The polymorph energy (0 for the lowest one) comes out at 15.30 kJ per mole of atoms.

The structure in CIF format:
```
data_BePd2N
_chemical_formula_sum 'Be4 Pd8 N4'
_cell_length_a 5.674
_cell_length_b 5.674
_cell_length_c 5.674
_cell_angle_alpha 90.00
_cell_angle_beta 90.00
_cell_angle_gamma 90.00
_space_group_name_H-M_alt 'F m -3 m'
_space_group_IT_number 225
_space_group_name_Hall '-F 4 2 3'
loop_
_atom_site_label
_atom_site_fract_x
_atom_site_fract_y
_atom_site_fract_z
_atom_site_occupancy
Be1 0.000 0.000 0.000 1
Pd1 0.250 0.250 0.250 1
N1 0.000 0.000 0.500 1
```

Record 9
A relaxed TbPrNi2P2 crystal, computed with PBE.

The value obtained for the total energy is -6.48 eV per atom. For the density of states at the Fermi level, the calculation gives 2.767 states/eV per cell. Its formation energy is -113.9 kJ/mol of atoms.

The structure in CIF format:
```
data_TbPrNi2P2
_chemical_formula_sum 'Tb1 Pr1 Ni2 P2'
_cell_length_a 3.9364
_cell_length_b 3.9364
_cell_length_c 8.0078
_cell_angle_alpha 90.00
_cell_angle_beta 90.00
_cell_angle_gamma 120.00
_space_group_name_H-M_alt 'P -3 m 1'
_space_group_IT_number 164
_space_group_name_Hall '-P 3 2"'
loop_
_atom_site_label
_atom_site_fract_x
_atom_site_fract_y
_atom_site_fract_z
_atom_site_occupancy
Tb1 0.0000 0.0000 0.0000 1
Pr1 0.0000 0.0000 0.5000 1
Ni1 0.3333 0.6667 0.2427 1
P1 0.3333 0.6667 0.7611 1
```

Record 10
A relaxed Be2CdH6 crystal, computed with PBE.

The value obtained for the total energy is -3.06 eV per atom. For the density of states at the Fermi level, the calculation gives 0.000 states/eV per cell. The polymorph energy (0 for the lowest one) comes out at 0.24 kJ per mole of atoms.

The structure in CIF format:
```
data_Be2CdH6
_chemical_formula_sum 'Be2 Cd1 H6'
_cell_length_a 4.681
_cell_length_b 4.831
_cell_length_c 5.161
_cell_angle_alpha 64.20
_cell_angle_beta 74.81
_cell_angle_gamma 74.13
_space_group_name_H-M_alt 'P -1'
_space_group_IT_number 2
_space_group_name_Hall '-P 1'
loop_
_atom_site_label
_atom_site_fract_x
_atom_site_fract_y
_atom_site_fract_z
_atom_site_occupancy
Be1 0.062 0.211 0.377 1
Cd1 0.500 0.500 0.500 1
H1 0.057 0.946 0.308 1
H2 0.148 0.515 0.772 1
H3 0.350 0.279 0.321 1
```

Record 11
A relaxed NdDy crystal, computed with PBE.

The value obtained for the total energy is -4.57 eV per atom. For the density of states at the Fermi level, the calculation gives 4.360 states/eV per cell. Its formation energy is 11.4 kJ/mol of atoms. The polymorph energy (0 for the lowest one) comes out at 8.96 kJ per mole of atoms.

The structure in CIF format:
```
data_NdDy
_chemical_formula_sum 'Nd1 Dy1'
_cell_length_a 4.069
_cell_length_b 4.069
_cell_length_c 4.069
_cell_angle_alpha 90.00
_cell_angle_beta 90.00
_cell_angle_gamma 90.00
_space_group_name_H-M_alt 'P m -3 m'
_space_group_IT_number 221
_space_group_name_Hall '-P 4 2 3'
loop_
_atom_site_label
_atom_site_fract_x
_atom_site_fract_y
_atom_site_fract_z
_atom_site_occupancy
Nd1 0.000 0.000 0.000 1
Dy1 0.500 0.500 0.500 1
```

Record 12
A relaxed EuSbSe2 crystal, computed with PBE.

The value obtained for the total energy is -6.22 eV per atom. For the density of states at the Fermi level, the calculation gives 5.841 states/eV per cell. The value obtained for the raw formation energy is -0.879 eV per atom.

The structure in CIF format:
```
data_EuSbSe2
_chemical_formula_sum 'Eu3 Sb3 Se6'
_cell_length_a 4.5708
_cell_length_b 4.5708
_cell_length_c 18.8220
_cell_angle_alpha 90.00
_cell_angle_beta 90.00
_cell_angle_gamma 120.00
_space_group_name_H-M_alt 'R -3 m'
_space_group_IT_number 166
_space_group_name_Hall '-R 3 2"'
loop_
_atom_site_label
_atom_site_fract_x
_atom_site_fract_y
_atom_site_fract_z
_atom_site_occupancy
Eu1 0.0000 0.0000 0.0000 1
Sb1 0.0000 0.0000 0.5000 1
Se1 0.0000 0.0000 0.2455 1
```